DFT (GGA-PBE) results for a geometry-optimized YZrRu2 structure.

It has space group F-43m (No. 216), with a = 6.6220 Å, b = 6.6220 Å, c = 6.6220 Å, α = 90.00°, β = 90.00° and γ = 90.00°. The asymmetric unit holds Y at (0.0000, 0.0000, 0.0000), Zr at (0.2500, 0.2500, 0.2500), Ru at (0.0000, 0.0000, 0.5000) and Ru at (0.2500, 0.2500, 0.7500).

For the total moment, the calculation gives 0.001 μB per atom. The crystal system is cubic. The energy relative to the elements is 0.27 eV/f.u.


DFT (GGA-PBE) results for a geometry-optimized YZr2Ru3 structure.

It has space group P4/mmm (No. 123), with a = 3.3099 Å, b = 3.3099 Å, c = 10.0438 Å, α = 90.00°, β = 90.00° and γ = 90.00°. The asymmetric unit holds Y at (0.0000, 0.0000, 0.0000), Zr at (0.0000, 0.0000, 0.3356), Ru at (0.5000, 0.5000, 0.1832) and Ru at (0.5000, 0.5000, 0.5000).

For the total moment, the calculation gives 0.000 μB per atom. The crystal system is tetragonal. The energy relative to the elements is -3.39 eV/f.u.


DFT (GGA-PBE) results for a geometry-optimized YZrRu2 structure.

It has space group I-4m2 (No. 119), with a = 3.9154 Å, b = 3.9154 Å, c = 9.9341 Å, α = 90.00°, β = 90.00° and γ = 90.00°. The asymmetric unit holds Y at (0.0000, 0.0000, 0.0000), Zr at (0.0000, 0.5000, 0.7500), Ru at (0.0000, 0.0000, 0.5000) and Ru at (0.0000, 0.5000, 0.2500).

For the total moment, the calculation gives 0.000 μB per atom. The crystal system is tetragonal. The energy relative to the elements is -0.48 eV/f.u.


DFT (GGA-PBE) results for a geometry-optimized YZrRu structure.

It has space group F-43m (No. 216), with a = 6.5855 Å, b = 6.5855 Å, c = 6.5855 Å, α = 90.00°, β = 90.00° and γ = 90.00°. The asymmetric unit holds Y at (0.0000, 0.0000, 0.0000), Zr at (0.0000, 0.0000, 0.5000) and Ru at (0.2500, 0.2500, 0.2500).

For the total moment, the calculation gives 0.000 μB per atom. The crystal system is cubic. The energy relative to the elements is -0.48 eV/f.u.


Number 1 is which compound? YZrRu2


Which formula does entry 2 have? YZr2Ru3


Look up the energy relative to the elements of the fourth one. -0.48 eV/f.u.